Entry from Alexandria via LeMat-Bulk: an optimized crystal structure of Pu3B4C4 (PBE-GGA).

a = 5.340 Å, b = 5.340 Å, c = 5.340 Å
α = 109.47°, β = 109.47°, γ = 109.47°
Each line ends with the local moment (μB).
Element x y z (fractional)
Pu  0.500  0.500  0.000  5.02
Pu  0.500  0.000  0.500  5.02
Pu  0.000  0.500  0.500  5.02
B  0.000  0.350  0.000  -0.02
B  0.000  0.000  0.350  -0.02
B  0.350  0.000  0.000  -0.02
B  0.650  0.650  0.650  -0.02
C  0.000  0.641  0.000  -0.01
C  0.641  0.000  0.000  -0.01
C  0.000  0.000  0.641  -0.01
C  0.359  0.359  0.359  -0.01

Values from the calculation:
* Fermi-level density of states: 17.59 states/eV/f.u.
* VASP energy: -8.90 eV/atom
* total magnetic moment: 1.384 μB per atom
* ΔE_f: 792 meV per atom